Record 1
VASP calculation (PBE-GGA) on Li2Hg2H4Ir after structural relaxation.

The final energy is -27.26 eV for the cell shown.

abc: 5.5869 5.5869 5.5869
angles: 120.38 120.38 89.34
Last column: nearest neighbours and their distance in Å.
Sites, in units of the cell vectors:
Li 0.2500 0.7500 0.5000  8 H 2.81, 4 Hg 2.85
Li 0.7500 0.2500 0.5000  8 H 2.81, 4 Hg 2.85
Hg 0.1706 0.1706 0.0000  1 Ir 2.62, 4 H 2.62, 1 Hg 2.71, 4 Li 2.85
Hg 0.8294 0.8294 0.0000  1 Ir 2.62, 4 H 2.62, 1 Hg 2.71, 4 Li 2.85
H 0.2851 0.2851 0.5702  1 Ir 1.69
H 0.2851 0.7149 0.0000  1 Ir 1.69
H 0.7149 0.2851 0.0000  1 Ir 1.69
H 0.7149 0.7149 0.4298  1 Ir 1.69
Ir 0.5000 0.5000 0.0000  4 H 1.69

Record 2
VASP calculation (PBE-GGA) on YTiSn2 after structural relaxation.

For the formation energy from the elements, the calculation gives 0.078 eV/atom.

abc: 10.7303 10.7303 10.7303
angles: 155.16 155.16 35.42
Last column: nearest neighbours and their distance in Å.
Sites, in units of the cell vectors:
Y 0.0000 0.0000 0.0000  4 Sn 3.11, 4 Ti 3.26
Y 0.7500 0.2500 0.5000  4 Sn 3.11, 4 Ti 3.26
Ti 0.2500 0.7500 0.5000  4 Sn 2.96, 4 Y 3.26
Ti 0.5000 0.5000 0.0000  4 Sn 2.96, 4 Y 3.26
Sn 0.1682 0.6250 0.0432  2 Ti 2.96, 2 Sn 3.00, 2 Y 3.11
Sn 0.3750 0.4182 0.5432  2 Ti 2.96, 2 Sn 3.00, 2 Y 3.11
Sn 0.5818 0.1250 0.9568  2 Ti 2.96, 2 Sn 3.00, 2 Y 3.11
Sn 0.8750 0.8318 0.4568  2 Ti 2.96, 2 Sn 3.00, 2 Y 3.11

Record 3
VASP calculation (PBE-GGA) on CeErZrSc after structural relaxation.

For the formation energy from the elements, the calculation gives 0.167 eV/atom.

abc: 5.3134 5.3134 5.3134
angles: 60.00 60.00 60.00
Last column: nearest neighbours and their distance in Å.
Sites, in units of the cell vectors:
Ce 0.0000 0.0000 0.0000  4 Zr 3.25, 4 Sc 3.25
Er 0.5000 0.5000 0.5000  4 Sc 3.25, 4 Zr 3.25
Zr 0.2500 0.2500 0.2500  4 Ce 3.25, 4 Er 3.25
Sc 0.7500 0.7500 0.7500  4 Er 3.25, 4 Ce 3.25

Record 4
VASP calculation (PBE-GGA) on TlGa2Au6 after structural relaxation.

For the formation energy from the elements, the calculation gives -0.078 eV/atom.

abc: 9.7904 9.7904 4.4985
angles: 98.54 98.54 54.86
Last column: nearest neighbours and their distance in Å.
Sites, in units of the cell vectors:
Tl 0.1354 0.8646 0.7500  6 Au 2.95-3.16
Tl 0.8646 0.1354 0.2500  6 Au 2.95-3.16
Ga 0.1818 0.5071 0.8607  8 Au 2.60-2.88
Ga 0.4929 0.8182 0.6393  8 Au 2.60-2.88
Ga 0.5071 0.1818 0.3607  8 Au 2.60-2.88
Ga 0.8182 0.4929 0.1393  8 Au 2.60-2.88
Au 0.0248 0.2402 0.7869  1 Ga 2.60, 1 Au 2.89
Au 0.1478 0.3653 0.3361  4 Ga 2.63-2.88, 1 Au 2.89
Au 0.2402 0.0248 0.2869  1 Ga 2.60, 1 Au 2.89
Au 0.3314 0.5339 0.4126  3 Ga 2.75-2.82, 6 Au 2.90-3.02, 1 Tl 2.95
Au 0.3653 0.1478 0.8361  4 Ga 2.63-2.88, 1 Au 2.89
Au 0.4661 0.6686 0.0874  3 Ga 2.75-2.82, 6 Au 2.90-3.02, 1 Tl 2.95
Au 0.5339 0.3314 0.9126  3 Ga 2.75-2.82, 6 Au 2.90-3.02, 1 Tl 2.95
Au 0.6347 0.8522 0.1639  4 Ga 2.63-2.88, 1 Au 2.89
Au 0.6686 0.4661 0.5874  3 Ga 2.75-2.82, 6 Au 2.90-3.02, 1 Tl 2.95
Au 0.7598 0.9752 0.7131  1 Ga 2.60, 1 Au 2.89
Au 0.8522 0.6347 0.6639  4 Ga 2.63-2.88, 1 Au 2.89
Au 0.9752 0.7598 0.2131  1 Ga 2.60, 1 Au 2.89

Record 5
VASP calculation (PBE-GGA) on BaAcCeO4 after structural relaxation.

Its formation energy without anion corrections is -280 kJ per mole of atoms.

abc: 7.4451 7.4451 6.4365
angles: 90.00 90.00 129.62
Last column: nearest neighbours and their distance in Å.
Sites, in units of the cell vectors:
Ba 0.1004 0.8996 0.7500  1 O 2.48
Ba 0.8996 0.1004 0.2500  1 O 2.48
Ac 0.3946 0.6054 0.7500  1 O 2.28
Ac 0.6054 0.3946 0.2500  1 O 2.28
Ce 0.2522 0.7478 0.2500  6 O 2.26-2.48
Ce 0.7478 0.2522 0.7500  6 O 2.26-2.48
O 0.0000 0.5000 0.0000  2 Ce 2.26
O 0.0000 0.5000 0.5000  2 Ce 2.26
O 0.0834 0.9166 0.2500  1 Ce 2.27, 1 Ba 2.48
O 0.4361 0.5639 0.2500  1 Ac 2.28, 1 Ce 2.48
O 0.5000 0.0000 0.0000  2 Ce 2.26
O 0.5000 0.0000 0.5000  2 Ce 2.26
O 0.5639 0.4361 0.7500  1 Ac 2.28, 1 Ce 2.48
O 0.9166 0.0834 0.7500  1 Ce 2.27, 1 Ba 2.48

Record 6
VASP calculation (PBE-GGA) on K4TaCd after structural relaxation.

For the formation energy from the elements, the calculation gives 1.139 eV/atom.

abc: 7.1394 7.1394 7.1394
angles: 60.00 60.00 60.00
Last column: nearest neighbours and their distance in Å.
Sites, in units of the cell vectors:
K 0.1243 0.1243 0.1243  6 K 3.55-3.59
K 0.1243 0.1243 0.6270  6 K 3.55-3.59
K 0.1243 0.6270 0.1243  6 K 3.55-3.59
K 0.6270 0.1243 0.1243  6 K 3.55-3.59
Ta 0.7500 0.7500 0.7500  12 K 4.18, 4 Cd 4.37
Cd 0.5000 0.5000 0.5000  12 K 4.19, 4 Ta 4.37

For reference, magnetization by record: 0.0000, 0.5541, 0.0036, 0.0000, 0.1007, 0.7582 μB/atom.
For reference, DOS at the Fermi energy by record: 0.10, 1.07, 2.22, 0.22, 0.63, 0.99 states/eV per atom.